[1]
# PBE La2MgCoAg, optimized geometry
data_La2MgCoAg
_space_group_name_H-M_alt 'P 4/m m m'
_space_group_IT_number 123
_space_group_name_Hall '-P 4 2'
_cell_length_a 5.142
_cell_length_b 5.142
_cell_length_c 5.175
_cell_angle_alpha 90.00
_cell_angle_beta 90.00
_cell_angle_gamma 90.00
loop_
_atom_site_label
_atom_site_type_symbol
_atom_site_fract_x
_atom_site_fract_y
_atom_site_fract_z
La1 La 0.000 0.500 0.000
Mg1 Mg 0.000 0.000 0.500
Co1 Co 0.500 0.500 0.000
Ag1 Ag 0.500 0.500 0.500
# Energy of formation from the pure elements (meV/atom): -42
# Energy above the lowest structure with this stoichiometry (meV per atom): 95.8
# Calculated volume (Å³/f.u.): 136.8
# Calculated total energy (eV per atom): -4.324

***

[2]
# PBE La2MgCoAg, optimized geometry
data_La2MgCoAg
_space_group_name_H-M_alt 'P 4/m m m'
_space_group_IT_number 123
_space_group_name_Hall '-P 4 2'
_cell_length_a 5.214
_cell_length_b 5.214
_cell_length_c 5.000
_cell_angle_alpha 90.00
_cell_angle_beta 90.00
_cell_angle_gamma 90.00
loop_
_atom_site_label
_atom_site_type_symbol
_atom_site_fract_x
_atom_site_fract_y
_atom_site_fract_z
La1 La 0.000 0.500 0.000
Mg1 Mg 0.000 0.000 0.500
Co1 Co 0.000 0.000 0.000
Ag1 Ag 0.500 0.500 0.500
# Energy of formation from the pure elements (meV/atom): -138
# Energy above the lowest structure with this stoichiometry (meV per atom): 0.0
# Calculated volume (Å³/f.u.): 135.9
# Calculated total energy (eV per atom): -4.419

***

[3]
# PBE La6CoAg2N, optimized geometry
data_La6CoAg2N
_space_group_name_H-M_alt 'P 1 21/c 1'
_space_group_IT_number 14
_cell_length_a 6.982
_cell_length_b 7.614
_cell_length_c 12.525
_cell_angle_alpha 90.00
_cell_angle_beta 122.91
_cell_angle_gamma 90.00
loop_
_space_group_symop_operation_xyz
'x,y,z'
'-x,-y,-z'
'-x,y+1/2,-z+1/2'
'x,-y+1/2,z+1/2'
loop_
_atom_site_label
_atom_site_type_symbol
_atom_site_fract_x
_atom_site_fract_y
_atom_site_fract_z
La1 La 0.132 0.020 0.239
La2 La 0.222 0.708 0.048
La3 La 0.354 0.189 0.049
Co1 Co 0.500 0.000 0.500
Ag1 Ag 0.296 0.085 0.747
N1 N 0.000 0.000 0.000
# Calculated volume (Å³/f.u.): 279.5
# Formation energy from raw total energies (eV per atom): -0.378
# Calculated total energy (eV per atom): -5.448

***

[4]
# PBE NaLa2CoAg, optimized geometry
data_NaLa2CoAg
_space_group_name_H-M_alt 'P 4/m m m'
_space_group_IT_number 123
_space_group_name_Hall '-P 4 2'
_cell_length_a 5.192
_cell_length_b 5.192
_cell_length_c 5.259
_cell_angle_alpha 90.00
_cell_angle_beta 90.00
_cell_angle_gamma 90.00
loop_
_atom_site_label
_atom_site_type_symbol
_atom_site_fract_x
_atom_site_fract_y
_atom_site_fract_z
Na1 Na 0.000 0.000 0.000
La1 La 0.000 0.500 0.500
Co1 Co 0.500 0.500 0.500
Ag1 Ag 0.500 0.500 0.000
# Energy of formation from the pure elements (meV/atom): -3
# Calculated volume (Å³/f.u.): 141.8
# Calculated total energy (eV per atom): -4.229

***

[5]
# PBE LaNdCoAg, optimized geometry
data_LaNdCoAg
_space_group_name_H-M_alt 'F -4 3 m'
_space_group_IT_number 216
_space_group_name_Hall 'F -4 2 3'
_cell_length_a 7.299
_cell_length_b 7.299
_cell_length_c 7.299
_cell_angle_alpha 90.00
_cell_angle_beta 90.00
_cell_angle_gamma 90.00
loop_
_atom_site_label
_atom_site_type_symbol
_atom_site_fract_x
_atom_site_fract_y
_atom_site_fract_z
La1 La 0.000 0.000 0.000
Nd1 Nd 0.000 0.000 0.500
Co1 Co 0.250 0.250 0.250
Ag1 Ag 0.250 0.250 0.750
# Energy of formation from the pure elements (meV/atom): -52
# Calculated volume (Å³/f.u.): 97.2
# Calculated total energy (eV per atom): -4.965

***

[6]
# PBE LaNd2CoAg, optimized geometry
data_LaNd2CoAg
_space_group_name_H-M_alt 'P 4 m m'
_space_group_IT_number 99
_cell_length_a 5.376
_cell_length_b 5.376
_cell_length_c 5.176
_cell_angle_alpha 90.00
_cell_angle_beta 90.00
_cell_angle_gamma 90.00
loop_
_space_group_symop_operation_xyz
'x,y,z'
'-y,x,z'
'-x,-y,z'
'y,-x,z'
'-x,y,z'
'y,x,z'
'x,-y,z'
'-y,-x,z'
loop_
_atom_site_label
_atom_site_type_symbol
_atom_site_fract_x
_atom_site_fract_y
_atom_site_fract_z
La1 La 0.000 0.000 0.000
Nd1 Nd 0.000 0.500 0.491
Co1 Co 0.000 0.000 0.514
Ag1 Ag 0.500 0.500 0.050
# Energy of formation from the pure elements (meV/atom): -3
# Calculated volume (Å³/f.u.): 149.6
# Calculated total energy (eV per atom): -4.887